AgPtRh: relaxed, GGA-PBE.

```
AgPtRh
1.0
2.7909 0.0000 0.0000
-1.3955 2.4170 0.0000
0.0000 0.0000 7.0129
Ag Pt Rh
1 1 1
Direct
0.0000 0.0000 0.0000 Ag
0.6667 0.3333 0.3452 Pt
0.3333 0.6667 0.6624 Rh
```

Calculated values
Fermi-level density of states, states/eV per atom: 1.30
Energy relative to the lowest polymorph listed for this composition, eV/f.u.: 0.31
Spin magnetization, μB per cell: 0.64
Formation energy from the elements, eV/atom: 0.098